SrMg2GaAg4: optimized geometry, PBE.

* formation energy from the elements: -0.169 eV per atom

Lattice parameters (Å, degrees): 4.6698 4.6698 28.0494 90.00 90.00 120.00
Space group R-3m (No. 166, hexagonal axes)
One atom of each set of equivalent atoms:
Sr (0.0000, 0.0000, 0.0000) x3
Mg (0.0000, 0.0000, 0.2363) x6
Ga (0.0000, 0.0000, 0.5000) x3
Ag (0.0000, 0.0000, 0.1316) x6
Ag (0.0000, 0.0000, 0.4044) x6

***

CrSb2W: optimized geometry, PBE.

* formation energy from raw total energies: 0.611 eV per atom
* offset from the most stable computed form: 0.384 eV/atom

Lattice parameters (Å, degrees): 4.618 3.286 5.498 90.00 113.24 90.00
Space group P2/m (No. 10)
One atom of each set of equivalent atoms:
Cr (0.000, 0.000, 0.000) x1
Sb (0.500, 0.000, 0.500) x1
Sb (0.500, 0.500, 0.000) x1
W (0.000, 0.500, 0.500) x1

***

CrMoRh2: optimized geometry, PBE.

* offset from the most stable computed form: 0.272 eV/atom
* formation energy from the elements: 0.161 eV per atom

Lattice parameters (Å, degrees): 6.127 6.127 6.127 90.00 90.00 90.00
Space group F-43m (No. 216)
One atom of each set of equivalent atoms:
Cr (0.000, 0.000, 0.000) x4
Mo (0.250, 0.250, 0.750) x4
Rh (0.000, 0.000, 0.500) x4
Rh (0.250, 0.250, 0.250) x4

***

CaFeCu2: optimized geometry, PBE.

* formation energy from the elements: 0.373 eV per atom

Lattice parameters (Å, degrees): 4.201 4.201 3.657 90.00 90.00 90.00
Space group P4/mmm (No. 123)
One atom of each set of equivalent atoms:
Ca (0.000, 0.000, 0.000) x1
Fe (0.500, 0.500, 0.000) x1
Cu (0.000, 0.500, 0.500) x2